A relaxed structure of HfGa2O, computed with PBE.

Properties
formation energy from raw total energies	-0.654	eV per atom

Unit cell a=8.5868 b=8.5868 c=4.0506 alpha=90.00 beta=90.00 gamma=90.00
With the nearest neighbours (Å) after each atom.
Space group I-42d (No. 122)
Asymmetric unit:
Hf: 0.0000 0.0000 0.0000 [4 per cell]  2 O 2.03
Ga: 0.1614 0.2500 0.6250 [8 per cell]  2 Ga 2.53, 2 O 2.60
O: 0.0000 0.0000 0.5000 [4 per cell]  2 Hf 2.03